The following is a PBE calculation of a geometry-optimized La3Mg3IrPd2 structure, from OQMD via LeMat-Bulk.

Cell lengths 7.5724, 7.5724, 4.2753 Å; angles 90.00, 90.00, 120.00 degrees
Fractional coordinates of all 9 atoms:
Ir1 0.0000 0.0000 0.5000
La1 0.5941 0.0000 0.5000
La2 0.4059 0.4059 0.5000
La3 0.0000 0.5941 0.5000
Mg1 0.2333 0.0000 0.0000
Mg2 0.0000 0.2333 0.0000
Mg3 0.7667 0.7667 0.0000
Pd1 0.6667 0.3333 0.0000
Pd2 0.3333 0.6667 0.0000

* calculated volume: 23.59 A^3/atom
* final energy: -44.5 eV per cell